Material: Sc2VAg
Method: DFT, GGA-PBE
State: relaxed

Structure (POSCAR):
```
Sc2VAg
1.0
3.126 0.000 0.000
0.000 3.126 0.000
0.000 0.000 7.850
Sc Ag V
2 1 1
Cartesian
0.000 0.000 5.984
0.000 0.000 1.866
1.563 1.563 3.925
1.563 1.563 0.000
```

Calculated values
**Mass density**: 5.39 g cm⁻³
**Magnetization**: 0.0 μB per cell
**VASP energy**: -6.129 eV per atom

=====

Material: NaLi2H6Pt
Method: DFT, GGA-PBE
State: relaxed

Structure (POSCAR):
```
NaLi2H6Pt
1.0
-0.731 -4.523 -3.750
1.929 -2.921 3.147
-4.648 0.739 0.015
Na Li H Pt
1 2 6 1
Cartesian
-0.365 -2.261 -1.875
-2.519 -0.871 0.736
-0.932 -5.834 -1.324
-1.841 -3.999 -2.583
-4.154 -3.631 -2.576
-3.195 -5.085 -1.010
0.704 -3.074 1.988
-0.256 -1.620 0.421
-1.610 -2.706 1.995
0.000 0.000 0.000
```

Calculated values
**Mass density**: 3.48 g cm⁻³
**Magnetization**: 0.0 μB per cell
**VASP energy**: -3.432 eV per atom

=====

Material: NpPtRh3
Method: DFT, GGA-PBE
State: relaxed

Structure (POSCAR):
```
NpPtRh3
1.0
9.763 0.000 0.387
0.000 4.858 0.000
2.365 0.000 6.981
Np Pt Rh
4 4 12
Cartesian
10.269 3.276 2.094
5.558 0.848 1.977
1.859 1.581 5.274
6.570 4.010 5.391
3.295 3.983 1.187
2.770 1.555 2.497
8.834 0.874 6.181
9.358 3.302 4.871
2.290 4.017 3.874
6.139 1.588 6.791
9.838 0.840 3.494
5.989 3.269 0.578
10.998 4.047 6.970
7.194 1.618 4.083
1.130 0.810 0.399
4.934 3.239 3.286
7.642 3.997 2.698
8.186 1.569 1.373
4.486 0.860 4.670
3.943 3.288 5.995
```

Calculated values
**Mass density**: 15.06 g cm⁻³
**Magnetization**: 6.1 μB per cell
**VASP energy**: -8.509 eV per atom

=====

Material: OsI4N2
Method: DFT, GGA-PBE
State: relaxed

Structure (POSCAR):
```
OsI4N2
1.0
-3.240 0.557 -3.997
-2.545 -4.260 1.469
-6.798 1.746 2.403
I Os N
4 1 2
Cartesian
-7.725 -1.916 -0.707
-4.858 -0.041 0.582
-1.273 -2.130 0.735
-1.620 0.279 -1.998
0.000 0.000 0.000
-8.946 -0.791 0.441
-3.637 -1.166 -0.565
```

Calculated values
**Mass density**: 6.97 g cm⁻³
**Magnetization**: 0.0 μB per cell
**ΔE_f (raw)**: 1586 meV per atom

=====

Material: Li3Tl2Hg2
Method: DFT, GGA-PBE
State: relaxed

Structure (POSCAR):
```
Li3Tl2Hg2
1.0
-3.985 -0.971 2.387
4.197 -1.157 1.836
1.575 7.986 1.303
Li Tl Hg
3 2 2
Cartesian
0.000 0.000 0.000
0.244 5.391 2.723
1.544 0.467 2.804
0.129 2.688 1.349
1.658 3.170 4.177
-1.215 -0.073 2.689
3.002 5.931 2.838
```

Calculated values
**Mass density**: 9.12 g cm⁻³
**Magnetization**: 0.0 μB per cell
**VASP energy**: -1.816 eV per atom

=====

Material: AcTa3Tl4O12
Method: DFT, GGA-PBE
State: relaxed

Structure (POSCAR):
```
AcTa3Tl4O12
1.0
-4.262 -3.702 4.742
4.370 -4.732 -3.587
4.142 4.856 3.691
Ac Ta Tl O
1 3 4 12
Cartesian
0.000 0.000 0.000
-0.060 0.577 4.217
0.054 -4.217 0.578
4.256 0.062 0.052
2.125 -1.789 2.424
2.071 2.428 1.846
-2.131 -1.851 2.371
2.185 -2.366 -1.793
4.226 0.350 2.161
-0.087 0.835 6.102
-0.033 0.319 2.332
0.024 -3.928 2.686
0.078 -6.102 0.836
0.030 -2.332 0.320
-0.033 -1.531 4.506
4.283 -2.047 0.341
2.068 0.608 4.243
6.158 0.089 0.076
2.182 -4.186 0.604
2.353 0.034 0.029
```

Calculated values
**Mass density**: 9.58 g cm⁻³
**Magnetization**: 0.0 μB per cell
**ΔE_f (raw)**: -1997 meV per atom

=====

Material: MgCdPb2
Method: DFT, GGA-PBE
State: relaxed

Structure (POSCAR):
```
MgCdPb2
1.0
0.000 3.788 3.788
3.788 0.000 3.788
3.788 3.788 0.000
Pb Mg Cd
2 1 1
Cartesian
1.894 1.894 1.894
5.681 5.681 5.681
0.000 0.000 0.000
3.788 3.788 3.788
```

Calculated values
**Mass density**: 8.42 g cm⁻³
**Magnetization**: 0.0 μB per cell
**VASP energy**: -2.451 eV per atom

=====

Material: Ca3Al2P4
Method: DFT, GGA-PBE
State: relaxed

Structure (POSCAR):
```
Ca3Al2P4
1.0
8.023 0.006 0.000
1.968 7.778 0.000
0.046 0.035 6.472
Ca Al P
6 4 8
Cartesian
6.079 0.099 6.283
8.476 1.967 3.425
3.957 7.720 0.189
1.560 5.853 3.047
5.604 3.134 1.618
4.432 4.685 4.854
6.298 6.458 2.660
2.211 3.274 0.576
3.738 1.361 3.812
7.825 4.545 5.896
5.877 0.478 3.083
8.112 2.220 0.153
4.159 7.341 3.389
1.924 5.599 6.319
6.031 5.778 0.410
2.936 3.367 2.826
4.005 2.041 6.062
7.100 4.452 3.646
```

Calculated values
**Mass density**: 2.45 g cm⁻³
**Magnetization**: 0.0 μB per cell
**VASP energy**: -4.915 eV per atom

=====

Q: magnetization of number 2 (NaLi2H6Pt)?
A: 0.0 μB per cell